! Ac2HgWO8 | the Alexandria database | PBE+U | relaxed; values from VASP
&SYSTEM
  ibrav = 0, nat = 12, ntyp = 4
/
ATOMIC_SPECIES
Ac 227.00 Ac.upf
Hg 200.59 Hg.upf
W 183.84 W.upf
O 16.00 O.upf
CELL_PARAMETERS angstrom
4.758 0.000 0.000
-0.403 5.126 0.000
-0.219 -0.687 8.240
ATOMIC_POSITIONS crystal
Ac 0.054 0.049 0.254
Ac 0.946 0.951 0.746
Hg 0.500 0.500 0.000
W 0.500 0.500 0.500
O 0.200 0.242 0.551
O 0.201 0.202 0.983
O 0.243 0.616 0.334
O 0.401 0.754 0.670
O 0.599 0.246 0.330
O 0.757 0.384 0.666
O 0.799 0.798 0.017
O 0.800 0.758 0.449
! * space group: P-1 (2)
! * theoretical density: 7.985 g/cm3
! * magnetic moment: 2.1 μB per cell
! * calculated total energy: -6.6860 eV per atom